No. 1
Here is BeTlTe3 at its PBEsol-relaxed geometry from Alexandria. Energies are from meta-GGA SCAN.

Properties
The space group is Pm-3m (221). Its crystal system is cubic. The uncorrected formation energy comes out at 176 meV/atom. The total energy comes out at -37.517 eV per atom. The total magnetization comes out at 0.00 Bohr magnetons per cell.

Unit cell a=5.0667 b=5.0667 c=5.0667 alpha=90.00 beta=90.00 gamma=90.00
Atoms (fractional coordinates):
Be  0.0000  0.0000  0.0000
Tl  0.5000  0.5000  0.5000
Te  0.0000  0.0000  0.5000
Te  0.0000  0.5000  0.0000
Te  0.5000  0.0000  0.0000


No. 2
Here is CuPbAu2 at its PBEsol-relaxed geometry from Alexandria. Energies are from meta-GGA SCAN.

Properties
The space group is P4/mmm (123). Its crystal system is tetragonal. The total energy comes out at -57.302 eV per atom. The formation energy is 21 meV/atom. The total magnetization comes out at 0.00 Bohr magnetons per cell.

Unit cell a=3.2076 b=3.2076 c=7.1060 alpha=90.00 beta=90.00 gamma=90.00
Atoms (fractional coordinates):
Cu  0.0000  0.0000  0.0000
Pb  0.0000  0.0000  0.5000
Au  0.5000  0.5000  0.1982
Au  0.5000  0.5000  0.8018


No. 3
Here is La2CrSi at its PBEsol-relaxed geometry from Alexandria. Energies are from meta-GGA SCAN.

Properties
The space group is P4/mmm (123). Its crystal system is tetragonal. The uncorrected formation energy comes out at -188 meV/atom. The total energy comes out at -28.840 eV per atom. The total magnetization comes out at 3.83 Bohr magnetons per cell.

Unit cell a=3.8757 b=3.8757 c=6.4734 alpha=90.00 beta=90.00 gamma=90.00
Atoms (fractional coordinates):
La  0.0000  0.0000  0.2317
La  0.0000  0.0000  0.7683
Cr  0.5000  0.5000  0.5000
Si  0.5000  0.5000  0.0000


No. 4
Here is BaPtW2 at its PBEsol-relaxed geometry from Alexandria. Energies are from meta-GGA SCAN.

Properties
The space group is P4/mmm (123). Its crystal system is tetragonal. The total energy comes out at -60.587 eV per atom. The formation energy is 1693 meV/atom. The total magnetization comes out at 0.00 Bohr magnetons per cell. The energy above the most stable polymorph in this dataset is 1238 meV per atom.

Unit cell a=4.7935 b=4.7935 c=3.1949 alpha=90.00 beta=90.00 gamma=90.00
Atoms (fractional coordinates):
Ba  0.0000  0.0000  0.0000
Pt  0.5000  0.5000  0.0000
W  0.0000  0.5000  0.5000
W  0.5000  0.0000  0.5000


No. 5
Here is Ba2ZnCr at its PBEsol-relaxed geometry from Alexandria. Energies are from meta-GGA SCAN.

Properties
The space group is F-43m (216). Its crystal system is cubic. The total energy comes out at -27.500 eV per atom. The formation energy is 250 meV/atom. The total magnetization comes out at 5.25 Bohr magnetons per cell.

Unit cell a=5.4565 b=5.4565 c=5.4565 alpha=60.00 beta=60.00 gamma=60.00
Atoms (fractional coordinates):
Ba  0.0000  0.0000  0.0000
Ba  0.2500  0.2500  0.2500
Zn  0.7500  0.7500  0.7500
Cr  0.5000  0.5000  0.5000


No. 6
Here is CuSi2Hg at its PBEsol-relaxed geometry from Alexandria. Energies are from meta-GGA SCAN.

Properties
The space group is I-4m2 (119). Its crystal system is tetragonal. The uncorrected formation energy comes out at 631 meV/atom. The total energy comes out at -25.219 eV per atom. The total magnetization comes out at 0.00 Bohr magnetons per cell.

Unit cell a=4.8431 b=4.8431 c=4.8431 alpha=130.64 beta=130.64 gamma=72.38
Atoms (fractional coordinates):
Cu  0.0000  0.0000  0.0000
Si  0.2500  0.7500  0.5000
Si  0.5000  0.5000  0.0000
Hg  0.7500  0.2500  0.5000


No. 7
Here is TaTe3As at its PBEsol-relaxed geometry from Alexandria. Energies are from meta-GGA SCAN.

Properties
The space group is Pm-3m (221). Its crystal system is cubic. The uncorrected formation energy comes out at 618 meV/atom. The total energy comes out at -39.087 eV per atom. The total magnetization comes out at 1.83 Bohr magnetons per cell.

Unit cell a=5.2917 b=5.2917 c=5.2917 alpha=90.00 beta=90.00 gamma=90.00
Atoms (fractional coordinates):
Ta  0.0000  0.0000  0.0000
Te  0.0000  0.0000  0.5000
Te  0.0000  0.5000  0.0000
Te  0.5000  0.0000  0.0000
As  0.5000  0.5000  0.5000


No. 8
Here is TlCuAs2PbS5 at its PBEsol-relaxed geometry from Alexandria. Energies are from meta-GGA SCAN.

Properties
The space group is P-1 (2). Its crystal system is triclinic. The uncorrected formation energy comes out at -329 meV/atom. The total energy comes out at -25.515 eV per atom. The total magnetization comes out at 0.00 Bohr magnetons per cell.

Unit cell a=7.6788 b=7.9708 c=8.8319 alpha=64.65 beta=72.66 gamma=65.67
Atoms (fractional coordinates):
Tl  0.1900  0.3502  0.3769
Tl  0.8100  0.6498  0.6231
Cu  0.3772  0.7256  0.4183
Cu  0.6228  0.2744  0.5817
As  0.0400  0.8757  0.6895
As  0.4074  0.4678  0.8548
As  0.5926  0.5322  0.1452
As  0.9600  0.1243  0.3105
Pb  0.2528  0.0387  0.8989
Pb  0.7472  0.9613  0.1011
S  0.1277  0.6856  0.9564
S  0.1401  0.8382  0.2617
S  0.3068  0.4306  0.6586
S  0.3292  0.9194  0.5678
S  0.3675  0.2025  0.0825
S  0.6325  0.7975  0.9175
S  0.6708  0.0806  0.4322
S  0.6932  0.5694  0.3414
S  0.8599  0.1618  0.7383
S  0.8723  0.3144  0.0436